Record 1
TbSiPO: optimized geometry, GGA-PBE.

## Properties
Magnetic moment, μB per formula unit: 0.0
Energy, eV per cell: -52.54
Energy above the lowest structure with this stoichiometry, meV/atom: 52

a b c (Å): 4.2530 4.2530 7.1488
angles (deg): 90.00 90.00 90.00
Closest atoms and distances in Å follow each position.
Atoms (fractional coordinates):
1 Tb 0.2500 0.2500 0.1297  4 O 2.32
2 Tb 0.7500 0.7500 0.8703  4 O 2.32
3 Si 0.2500 0.7500 0.5000  4 P 2.36
4 Si 0.7500 0.2500 0.5000  4 P 2.36
5 P 0.2500 0.2500 0.6439  4 Si 2.36
6 P 0.7500 0.7500 0.3561  4 Si 2.36
7 O 0.2500 0.7500 0.0000  4 Tb 2.32
8 O 0.7500 0.2500 0.0000  4 Tb 2.32

=====

Record 2
Y2Zr4In3N3: optimized geometry, GGA-PBE.

## Properties
Magnetic moment, μB per formula unit: 0.0
Energy, eV per cell: -186.59

a b c (Å): 5.9043 5.9043 15.2504
angles (deg): 101.18 101.18 60.01
Closest atoms and distances in Å follow each position.
Atoms (fractional coordinates):
1 Y 0.0323 0.8703 0.5958  3 N 2.44-2.45
2 Y 0.1297 0.9677 0.9042  3 N 2.44-2.45
3 Y 0.8703 0.0323 0.0958  3 N 2.44-2.45
4 Y 0.9677 0.1297 0.4042  3 N 2.44-2.45
5 Zr 0.1927 0.3534 0.0776  3 N 2.27-2.29
6 Zr 0.3017 0.4799 0.4223  3 N 2.27-2.29
7 Zr 0.3534 0.1927 0.5776  3 N 2.27-2.29
8 Zr 0.4799 0.3017 0.9223  3 N 2.27-2.29
9 Zr 0.5201 0.6983 0.0777  3 N 2.27-2.29
10 Zr 0.6466 0.8073 0.4224  3 N 2.27-2.29
11 Zr 0.6983 0.5201 0.5777  3 N 2.27-2.29
12 Zr 0.8073 0.6466 0.9224  3 N 2.27-2.29
13 In 0.0828 0.3146 0.7510  4 Zr 3.13-3.14, 4 In 3.13-3.14, 2 Y 3.27-3.28
14 In 0.3146 0.0828 0.2510  4 Zr 3.13-3.14, 4 In 3.13-3.14, 2 Y 3.27-3.28
15 In 0.4784 0.5216 0.7500  4 In 3.13-3.14, 4 Zr 3.15, 2 Y 3.28
16 In 0.5216 0.4784 0.2500  4 In 3.13-3.14, 4 Zr 3.15, 2 Y 3.28
17 In 0.6854 0.9172 0.7490  4 Zr 3.13-3.14, 4 In 3.13-3.14, 2 Y 3.27-3.28
18 In 0.9172 0.6854 0.2490  4 Zr 3.13-3.14, 4 In 3.13-3.14, 2 Y 3.27-3.28
19 N 0.0000 0.5000 0.5000  4 Zr 2.27, 2 Y 2.45
20 N 0.1695 0.6609 0.0000  4 Zr 2.27-2.29, 2 Y 2.44
21 N 0.3391 0.8305 0.5000  4 Zr 2.27-2.29, 2 Y 2.44
22 N 0.5000 0.0000 0.0000  4 Zr 2.27, 2 Y 2.45
23 N 0.6609 0.1695 0.5000  4 Zr 2.27-2.29, 2 Y 2.44
24 N 0.8305 0.3391 0.0000  4 Zr 2.27-2.29, 2 Y 2.44

=====

Record 3
NiOs2: optimized geometry, GGA-PBE.

## Properties
Magnetic moment, μB per formula unit: 6.0
Energy, eV per cell: -32.09
Energy above the lowest structure with this stoichiometry, meV/atom: 3045
DFT formation energy, meV per atom: 3990.7

a b c (Å): 7.3943 7.3943 7.3943
angles (deg): 60.00 60.00 60.00
Closest atoms and distances in Å follow each position.
Atoms (fractional coordinates):
1 Ni 0.1250 0.1250 0.1250  4 Os 2.26
2 Ni 0.8750 0.8750 0.8750  4 Os 2.26
3 Os 0.0000 0.0000 0.0000  2 Ni 2.26
4 Os 0.0000 0.0000 0.5000  2 Ni 2.26
5 Os 0.0000 0.5000 0.0000  2 Ni 2.26
6 Os 0.5000 0.0000 0.0000  2 Ni 2.26

=====

Record 4
Sr2Hg2Pb: optimized geometry, GGA-PBE.

## Properties
Energy, eV per cell: -9.35
Energy above the lowest structure with this stoichiometry, meV/atom: 0

a b c (Å): 9.0035 9.0035 9.0035
angles (deg): 151.55 151.55 40.68
Closest atoms and distances in Å follow each position.
Atoms (fractional coordinates):
1 Sr 0.1041 0.1041 0.0000  4 Hg 3.31, 1 Sr 3.52, 4 Pb 3.59
2 Sr 0.8959 0.8959 0.0000  4 Hg 3.31, 1 Sr 3.52, 4 Pb 3.59
3 Hg 0.2500 0.7500 0.5000  4 Hg 3.13, 4 Sr 3.31
4 Hg 0.7500 0.2500 0.5000  4 Hg 3.13, 4 Sr 3.31
5 Pb 0.5000 0.5000 0.0000  8 Sr 3.59

=====

Record 5
CdH36C60N12: optimized geometry, GGA-PBE.

## Properties
Energy, eV per cell: -769.60

a b c (Å): 9.8571 10.1003 10.3601
angles (deg): 77.46 79.65 79.17
Closest atoms and distances in Å follow each position.
Atoms (fractional coordinates):
1 Cd 0.0000 0.0000 0.0000  6 N 2.36-2.42
2 H 0.0223 0.0053 0.7142  1 N 1.04
3 H 0.0304 0.1090 0.4514  1 N 1.03
4 H 0.0308 0.7187 0.9641  1 N 1.03
5 H 0.0564 0.4162 0.1711  1 N 1.03
6 H 0.0668 0.1538 0.7227  1 N 1.02
7 H 0.0873 0.1908 0.3032  1 N 1.02
8 H 0.1153 0.7060 0.0931  1 N 1.02
9 H 0.1216 0.4544 0.0123  1 N 1.02
10 H 0.1833 0.0145 0.7376  1 N 1.02
11 H 0.1916 0.0666 0.3841  1 N 1.03
12 H 0.1941 0.7509 0.9406  1 N 1.02
13 H 0.1998 0.1576 0.0332  1 N 1.02
14 H 0.2070 0.0188 0.1518  1 N 1.02
15 H 0.2172 0.3550 0.1178  1 N 1.03
16 H 0.2940 0.0067 0.9980  1 N 1.04
17 H 0.4560 0.0626 0.0790  1 N 1.02
18 H 0.4560 0.9259 0.8051  1 N 1.02
19 H 0.4670 0.8034 0.9379  1 N 1.02
20 H 0.5330 0.1966 0.0621  1 N 1.02
21 H 0.5440 0.0741 0.1949  1 N 1.02
22 H 0.5440 0.9374 0.9210  1 N 1.02
23 H 0.7060 0.9933 0.0020  1 N 1.04
24 H 0.7828 0.6450 0.8822  1 N 1.03
25 H 0.7930 0.9812 0.8482  1 N 1.02
26 H 0.8002 0.8424 0.9668  1 N 1.02
27 H 0.8059 0.2491 0.0594  1 N 1.02
28 H 0.8084 0.9334 0.6159  1 N 1.03
29 H 0.8167 0.9855 0.2624  1 N 1.02
30 H 0.8784 0.5456 0.9877  1 N 1.02
31 H 0.8847 0.2940 0.9069  1 N 1.02
32 H 0.9127 0.8092 0.6968  1 N 1.02
33 H 0.9332 0.8462 0.2773  1 N 1.02
34 H 0.9436 0.5838 0.8289  1 N 1.03
35 H 0.9692 0.2813 0.0359  1 N 1.03
36 H 0.9696 0.8910 0.5486  1 N 1.03
37 H 0.9777 0.9947 0.2858  1 N 1.04
38 C 0.1321 0.5409 0.5875  3 C 1.40-1.45
39 C 0.1454 0.6102 0.4541  3 C 1.40-1.45
40 C 0.1699 0.3929 0.6189  3 C 1.40-1.45
41 C 0.1734 0.5975 0.6884  3 C 1.40-1.45
42 C 0.1968 0.5343 0.3474  3 C 1.41-1.45
43 C 0.2003 0.7386 0.4178  3 C 1.40-1.45
44 C 0.2205 0.3194 0.5152  3 C 1.40-1.45
45 C 0.2268 0.7221 0.6534  3 C 1.40-1.45
46 C 0.2338 0.3583 0.7395  3 C 1.41-1.45
47 C 0.2339 0.3908 0.3779  3 C 1.41-1.45
48 C 0.2365 0.4847 0.7821  3 C 1.41-1.45
49 C 0.2405 0.7934 0.5160  3 C 1.40-1.45
50 C 0.2838 0.6155 0.2450  3 C 1.41-1.45
51 C 0.2858 0.7420 0.2885  3 C 1.40-1.45
52 C 0.3367 0.2084 0.5289  3 C 1.41-1.45
53 C 0.3447 0.7380 0.7107  3 C 1.41-1.45
54 C 0.3472 0.2507 0.7527  3 C 1.41-1.45
55 C 0.3514 0.5002 0.8377  3 C 1.41-1.45
56 C 0.3591 0.3245 0.3068  3 C 1.41-1.45
57 C 0.3672 0.8538 0.4882  3 C 1.40-1.45
58 C 0.3989 0.1747 0.6461  3 C 1.41-1.45
59 C 0.4053 0.5511 0.1755  3 C 1.41-1.45
60 C 0.4062 0.6282 0.8018  3 C 1.41-1.45
61 C 0.4092 0.7998 0.2617  3 C 1.40-1.45
62 C 0.4222 0.2112 0.4001  3 C 1.41-1.45
63 C 0.4316 0.8197 0.6087  3 C 1.41-1.45
64 C 0.4434 0.4033 0.2069  3 C 1.41-1.45
65 C 0.4504 0.8564 0.3630  3 C 1.40-1.45
66 C 0.4655 0.2669 0.8092  3 C 1.41-1.45
67 C 0.4676 0.3892 0.8521  3 C 1.41-1.45
68 C 0.5324 0.6108 0.1479  3 C 1.41-1.45
69 C 0.5345 0.7331 0.1908  3 C 1.41-1.45
70 C 0.5496 0.1436 0.6370  3 C 1.40-1.45
71 C 0.5566 0.5967 0.7931  3 C 1.41-1.45
72 C 0.5684 0.1803 0.3913  3 C 1.41-1.45
73 C 0.5778 0.7888 0.5999  3 C 1.41-1.45
74 C 0.5908 0.2002 0.7383  3 C 1.40-1.45
75 C 0.5938 0.3718 0.1982  3 C 1.41-1.45
76 C 0.5947 0.4489 0.8245  3 C 1.41-1.45
77 C 0.6011 0.8253 0.3539  3 C 1.41-1.45
78 C 0.6328 0.1462 0.5118  3 C 1.40-1.45
79 C 0.6409 0.6755 0.6932  3 C 1.41-1.45
80 C 0.6486 0.4998 0.1623  3 C 1.41-1.45
81 C 0.6528 0.7493 0.2473  3 C 1.41-1.45
82 C 0.6553 0.2620 0.2893  3 C 1.41-1.45
83 C 0.6633 0.7916 0.4711  3 C 1.41-1.45
84 C 0.7142 0.2580 0.7115  3 C 1.40-1.45
85 C 0.7162 0.3845 0.7550  3 C 1.41-1.45
86 C 0.7595 0.2066 0.4840  3 C 1.40-1.45
87 C 0.7635 0.5153 0.2179  3 C 1.41-1.45
88 C 0.7661 0.6092 0.6221  3 C 1.41-1.45
89 C 0.7662 0.6417 0.2605  3 C 1.41-1.45
90 C 0.7732 0.2779 0.3466  3 C 1.40-1.45
91 C 0.7795 0.6806 0.4848  3 C 1.40-1.45
92 C 0.7997 0.2614 0.5822  3 C 1.40-1.45
93 C 0.8032 0.4657 0.6526  3 C 1.41-1.45
94 C 0.8266 0.4025 0.3116  3 C 1.40-1.45
95 C 0.8301 0.6071 0.3811  3 C 1.40-1.45
96 C 0.8546 0.3898 0.5459  3 C 1.40-1.45
97 C 0.8679 0.4591 0.4125  3 C 1.40-1.45
98 N 0.0797 0.0509 0.7623  3 H 1.02-1.04
99 N 0.0914 0.0952 0.3627  3 H 1.02-1.03
100 N 0.0995 0.7620 0.0005  3 H 1.02-1.03
101 N 0.1178 0.3759 0.0936  3 H 1.02-1.03
102 N 0.2046 0.0531 0.0517  3 H 1.02-1.04
103 N 0.4550 0.9077 0.9064  3 H 1.02
104 N 0.5450 0.0923 0.0936  3 H 1.02
105 N 0.7954 0.9469 0.9483  3 H 1.02-1.04
106 N 0.8822 0.6241 0.9064  3 H 1.02-1.03
107 N 0.9005 0.2380 0.9995  3 H 1.02-1.03
108 N 0.9086 0.9048 0.6373  3 H 1.02-1.03
109 N 0.9203 0.9491 0.2377  3 H 1.02-1.04

=====

Record 6
NdSmSi2Au2: optimized geometry, GGA-PBE.

## Properties
Magnetic moment, μB per formula unit: 0.0
Energy, eV per cell: -31.78

a b c (Å): 4.3298 4.3298 8.1871
angles (deg): 90.00 90.00 120.00
Closest atoms and distances in Å follow each position.
Atoms (fractional coordinates):
1 Nd 0.0000 0.0000 0.0000  6 Si 3.24, 6 Au 3.26
2 Sm 0.0000 0.0000 0.5000  6 Au 3.21, 6 Si 3.22
3 Si 0.3333 0.6667 0.7474  3 Au 2.50
4 Si 0.6667 0.3333 0.2526  3 Au 2.50
5 Au 0.3333 0.6667 0.2549  3 Si 2.50
6 Au 0.6667 0.3333 0.7451  3 Si 2.50

=====

Record 7
YBiIrAu: optimized geometry, GGA-PBE.

## Properties
Magnetic moment, μB per formula unit: 0.0
Energy, eV per cell: -22.98
Energy above the lowest structure with this stoichiometry, meV/atom: 266

a b c (Å): 4.9675 4.9675 4.9675
angles (deg): 60.00 60.00 60.00
Closest atoms and distances in Å follow each position.
Atoms (fractional coordinates):
1 Y 0.0000 0.0000 0.0000  4 Ir 3.04, 4 Bi 3.04
2 Bi 0.7500 0.7500 0.7500  4 Y 3.04, 4 Au 3.04
3 Ir 0.2500 0.2500 0.2500  4 Au 3.04, 4 Y 3.04
4 Au 0.5000 0.5000 0.5000  4 Bi 3.04, 4 Ir 3.04

=====

Record 8
Dy2Er4LuNi2Te2: optimized geometry, GGA-PBE.

## Properties
Magnetic moment, μB per formula unit: 0.0
Energy, eV per cell: -56.71
Energy above the lowest structure with this stoichiometry, meV/atom: 6

a b c (Å): 9.2709 9.2709 9.2709
angles (deg): 156.18 67.13 118.28
Closest atoms and distances in Å follow each position.
Atoms (fractional coordinates):
1 Dy 0.1850 0.0000 0.1850  2 Ni 2.76
2 Dy 0.8150 0.0000 0.8150  2 Ni 2.76
3 Er 0.2060 0.3517 0.8542  2 Ni 2.81, 2 Te 3.13
4 Er 0.4975 0.3517 0.1458  2 Ni 2.81, 2 Te 3.13
5 Er 0.5708 0.2049 0.3659  2 Ni 2.77
6 Er 0.8390 0.2049 0.6341  2 Ni 2.77
7 Lu 0.1235 0.6235 0.5000  3 Te 3.18-3.22
8 Ni 0.4289 0.6927 0.7362  2 Dy 2.76, 4 Er 2.77-2.81
9 Ni 0.9565 0.6927 0.2638  2 Dy 2.76, 4 Er 2.77-2.81
10 Te 0.4616 0.9616 0.5000  6 Er 3.11-3.13, 1 Lu 3.22
11 Te 0.8564 0.8564 0.0000  4 Er 3.17, 2 Dy 3.17, 2 Lu 3.18

=====

Record 9
LiLuAg: optimized geometry, GGA-PBE.

## Properties
Magnetic moment, μB per formula unit: 0.0
Energy, eV per cell: -8.18
Energy above the lowest structure with this stoichiometry, meV/atom: 338

a b c (Å): 4.7245 4.7245 4.7245
angles (deg): 60.00 60.00 60.00
Closest atoms and distances in Å follow each position.
Atoms (fractional coordinates):
1 Li 0.0000 0.0000 0.0000  4 Lu 2.89
2 Lu 0.7500 0.7500 0.7500  4 Li 2.89, 4 Ag 2.89
3 Ag 0.5000 0.5000 0.5000  4 Lu 2.89

=====

Record 10
SrGePPd2: optimized geometry, GGA-PBE.

## Properties
Energy, eV per cell: -25.96

a b c (Å): 5.8931 5.8931 5.8931
angles (deg): 136.44 136.44 63.31
Closest atoms and distances in Å follow each position.
Atoms (fractional coordinates):
1 Sr 0.0000 0.0000 0.0000  8 Pd 3.29-3.37, 4 Ge 3.33, 4 P 3.33
2 Ge 0.3777 0.3777 0.0000  1 P 2.47, 4 Pd 2.56
3 P 0.6234 0.6234 0.0000  1 Ge 2.47, 4 Pd 2.50
4 Pd 0.2449 0.7449 0.5000  2 P 2.50, 2 Ge 2.56
5 Pd 0.7449 0.2449 0.5000  2 P 2.50, 2 Ge 2.56

=====

- Look up the energy of the fourth one.
  -9.35 eV per cell

=====

- Which value of energy does entry 7 give?
  -22.98 eV per cell

=====

- energy of number 5 (CdH36C60N12)?
  -769.60 eV per cell